No. 1
The following is a PBEsol calculation of crystalline TaRuRh2 at its relaxed geometry, from Alexandria.

Cell: 3.836 3.836 4.730 Å, 113.92 113.92 90.00°
Positions (direct):
Ru 0.500 0.500 0.000
Rh 0.750 0.250 0.500
Rh 0.250 0.750 0.500
Ta 0.000 0.000 0.000

Properties
Raw total energy = -10.1503 eV/atom
E above lowest polymorph = 0.072 eV/atom
V = 14.26 Å³ per atom
Space-group type = I4/mmm (139)
Total magnetization = 0.00 μB per cell

No. 2
The following is a PBEsol calculation of crystalline NaZr2PdF11 at its relaxed geometry, from Alexandria.

Cell: 5.757 5.757 7.821 Å, 69.49 69.49 72.92°
Last column: magnetic moment on the atom in μB.
Positions (direct):
Na 0.000 0.000 0.000  0.00
Zr 0.501 0.501 0.768  0.02
Zr 0.499 0.499 0.232  0.02
Pd 0.000 0.000 0.500  1.51
F 0.220 0.802 0.699  0.07
F 0.198 0.780 0.301  0.07
F 0.780 0.198 0.301  0.07
F 0.802 0.220 0.699  0.07
F 0.500 0.500 0.500  0.00
F 0.668 0.332 0.000  0.00
F 0.332 0.668 0.000  0.00
F 0.258 0.258 0.349  0.06
F 0.742 0.742 0.651  0.06
F 0.267 0.267 0.890  0.00
F 0.733 0.733 0.110  0.00

Properties
ΔE_f (raw) = -46.6 eV/f.u.
Raw total energy = -6.2222 eV/atom
V = 14.87 Å³ per atom
Space-group type = C2/m (12)
Total magnetization = 2.00 μB per cell

Which value of raw total energy does entry 1 give? -10.1503 eV/atom